# Nd2Sm6Y3Mg

Crystalline Nd2Sm6Y3Mg at its relaxed geometry (PBE-GGA, Alexandria via LeMat-Bulk).

## Properties
Space-group type: C2/m, No. 12

Unit cell a=6.231 b=6.231 c=11.882 alpha=95.03 beta=95.03 gamma=120.03
Sites, in units of the cell vectors:
Nd1 0.333 0.667 0.000
Nd2 0.667 0.333 0.000
Sm1 0.917 0.586 0.749
Sm2 0.752 0.752 0.252
Sm3 0.083 0.414 0.251
Sm4 0.586 0.917 0.749
Sm5 0.248 0.248 0.748
Sm6 0.414 0.083 0.251
Y1 0.166 0.834 0.500
Y2 0.834 0.166 0.500
Y3 0.500 0.500 0.500
Mg1 0.000 0.000 0.000


# Nd4Sm2YMg

Crystalline Nd4Sm2YMg at its relaxed geometry (PBE-GGA, Alexandria via LeMat-Bulk).

## Properties
Space-group type: P4/mmm, No. 123

Unit cell a=5.092 b=5.095 c=11.364 alpha=63.35 beta=90.00 gamma=90.00
Sites, in units of the cell vectors:
Nd1 0.000 0.746 0.754
Nd2 0.000 0.254 0.246
Nd3 0.500 0.753 0.247
Nd4 0.500 0.247 0.753
Sm1 0.000 0.000 0.000
Sm2 0.500 0.000 0.500
Y1 0.000 0.500 0.500
Mg1 0.500 0.500 0.000


# Nd3Sm2Y6Mg

Crystalline Nd3Sm2Y6Mg at its relaxed geometry (PBE-GGA, Alexandria via LeMat-Bulk).

## Properties
Space-group type: C2/m, No. 12

Unit cell a=6.215 b=6.215 c=11.869 alpha=95.02 beta=95.02 gamma=120.03
Sites, in units of the cell vectors:
Nd1 0.166 0.834 0.500
Nd2 0.834 0.166 0.500
Nd3 0.500 0.500 0.500
Sm1 0.334 0.666 0.000
Sm2 0.666 0.334 0.000
Y1 0.918 0.587 0.753
Y2 0.751 0.751 0.247
Y3 0.082 0.413 0.247
Y4 0.587 0.918 0.753
Y5 0.249 0.249 0.753
Y6 0.413 0.082 0.247
Mg1 0.000 0.000 0.000


# Nd2Sm6YMg

Crystalline Nd2Sm6YMg at its relaxed geometry (PBE-GGA, Alexandria via LeMat-Bulk).

## Properties
Space-group type: C2/c, No. 15

Unit cell a=9.609 b=8.852 c=8.852 alpha=117.11 beta=93.96 gamma=93.96
Sites, in units of the cell vectors:
Nd1 0.453 0.795 0.694
Nd2 0.047 0.306 0.205
Nd3 0.547 0.205 0.306
Nd4 0.953 0.694 0.795
Sm1 0.052 0.128 0.759
Sm2 0.448 0.241 0.872
Sm3 0.948 0.872 0.241
Sm4 0.552 0.759 0.128
Sm5 0.306 0.995 0.429
Sm6 0.194 0.571 0.005
Sm7 0.694 0.005 0.571
Sm8 0.806 0.429 0.995
Sm9 0.114 0.709 0.500
Sm10 0.386 0.500 0.291
Sm11 0.886 0.291 0.500
Sm12 0.614 0.500 0.709
Y1 0.250 0.982 0.018
Y2 0.750 0.018 0.982
Mg1 0.250 0.409 0.591
Mg2 0.750 0.591 0.409


# NdSm2Y4Mg

Crystalline NdSm2Y4Mg at its relaxed geometry (PBE-GGA, Alexandria via LeMat-Bulk).

## Properties
Space-group type: P4/mmm, No. 123

Unit cell a=5.004 b=5.011 c=11.376 alpha=63.88 beta=90.00 gamma=90.00
Sites, in units of the cell vectors:
Nd1 0.000 0.500 0.500
Sm1 0.000 0.000 0.000
Sm2 0.500 0.000 0.500
Y1 0.000 0.746 0.754
Y2 0.000 0.254 0.246
Y3 0.500 0.755 0.245
Y4 0.500 0.245 0.755
Mg1 0.500 0.500 0.000


# Nd2SmY6Mg

Crystalline Nd2SmY6Mg at its relaxed geometry (PBE-GGA, Alexandria via LeMat-Bulk).

## Properties
Space-group type: C2/c, No. 15

Unit cell a=6.685 b=11.046 c=11.046 alpha=125.93 beta=86.13 gamma=86.13
Sites, in units of the cell vectors:
Nd1 0.496 0.818 0.653
Nd2 0.004 0.347 0.182
Nd3 0.504 0.182 0.347
Nd4 0.996 0.653 0.818
Sm1 0.250 0.992 0.008
Sm2 0.750 0.008 0.992
Y1 0.029 0.084 0.791
Y2 0.471 0.209 0.916
Y3 0.971 0.916 0.209
Y4 0.529 0.791 0.084
Y5 0.281 0.912 0.435
Y6 0.219 0.565 0.088
Y7 0.719 0.088 0.565
Y8 0.781 0.435 0.912
Y9 0.011 0.698 0.522
Y10 0.489 0.478 0.302
Y11 0.989 0.302 0.478
Y12 0.511 0.522 0.698
Mg1 0.250 0.291 0.709
Mg2 0.750 0.709 0.291


# Nd2Sm4Y2Mg

Crystalline Nd2Sm4Y2Mg at its relaxed geometry (PBE-GGA, Alexandria via LeMat-Bulk).

## Properties
Space-group type: P-1, No. 2

Unit cell a=7.583 b=8.970 c=6.560 alpha=133.40 beta=105.13 gamma=90.32
Sites, in units of the cell vectors:
Nd1 0.781 0.364 0.183
Nd2 0.219 0.636 0.817
Sm1 0.697 0.668 0.872
Sm2 0.599 0.819 0.486
Sm3 0.303 0.332 0.128
Sm4 0.401 0.181 0.514
Y1 0.107 0.792 0.422
Y2 0.893 0.208 0.578
Mg1 0.000 0.000 0.000


# Nd2SmYMg

Crystalline Nd2SmYMg at its relaxed geometry (PBE-GGA, Alexandria via LeMat-Bulk).

## Properties
Space-group type: Pmma, No. 51

Unit cell a=7.255 b=7.548 c=6.020 alpha=90.00 beta=90.00 gamma=90.00
Sites, in units of the cell vectors:
Nd1 0.694 0.715 0.750
Nd2 0.694 0.285 0.750
Nd3 0.306 0.715 0.250
Nd4 0.306 0.285 0.250
Sm1 0.160 0.500 0.750
Sm2 0.840 0.500 0.250
Y1 0.626 0.000 0.250
Y2 0.374 0.000 0.750
Mg1 0.000 0.000 0.000
Mg2 0.000 0.000 0.500


# Nd2Sm4YMg

Crystalline Nd2Sm4YMg at its relaxed geometry (PBE-GGA, Alexandria via LeMat-Bulk).

## Properties
Space-group type: P4/mmm, No. 123

Unit cell a=5.048 b=5.056 c=11.411 alpha=63.68 beta=90.00 gamma=90.00
Sites, in units of the cell vectors:
Nd1 0.000 0.000 0.000
Nd2 0.500 0.000 0.500
Sm1 0.000 0.748 0.752
Sm2 0.000 0.252 0.248
Sm3 0.500 0.753 0.248
Sm4 0.500 0.247 0.752
Y1 0.000 0.500 0.500
Mg1 0.500 0.500 0.000


# Nd6Sm2Y3Mg

Crystalline Nd6Sm2Y3Mg at its relaxed geometry (PBE-GGA, Alexandria via LeMat-Bulk).

## Properties
Space-group type: C2/m, No. 12

Unit cell a=6.271 b=6.271 c=11.898 alpha=95.05 beta=95.05 gamma=120.04
Sites, in units of the cell vectors:
Nd1 0.917 0.586 0.750
Nd2 0.751 0.751 0.251
Nd3 0.083 0.414 0.250
Nd4 0.586 0.917 0.750
Nd5 0.249 0.249 0.749
Nd6 0.414 0.083 0.250
Sm1 0.333 0.667 0.000
Sm2 0.667 0.333 0.000
Y1 0.166 0.834 0.500
Y2 0.834 0.166 0.500
Y3 0.500 0.500 0.500
Mg1 0.000 0.000 0.000


# Nd3Sm6Y2Mg

Crystalline Nd3Sm6Y2Mg at its relaxed geometry (PBE-GGA, Alexandria via LeMat-Bulk).

## Properties
Space-group type: C2/m, No. 12

Unit cell a=6.264 b=6.264 c=11.892 alpha=95.06 beta=95.06 gamma=120.05
Sites, in units of the cell vectors:
Nd1 0.167 0.833 0.500
Nd2 0.833 0.167 0.500
Nd3 0.500 0.500 0.500
Sm1 0.920 0.588 0.755
Sm2 0.749 0.749 0.246
Sm3 0.080 0.412 0.245
Sm4 0.588 0.920 0.755
Sm5 0.251 0.251 0.754
Sm6 0.412 0.080 0.245
Y1 0.334 0.666 0.000
Y2 0.666 0.334 0.000
Mg1 0.000 0.000 0.000


# NdSmMgZn

Crystalline NdSmMgZn at its relaxed geometry (PBE-GGA, Alexandria via LeMat-Bulk).

## Properties
Space-group type: F-43m, No. 216

Unit cell a=5.312 b=5.312 c=5.312 alpha=60.00 beta=60.00 gamma=60.00
Sites, in units of the cell vectors:
Zn1 0.750 0.750 0.750
Nd1 0.500 0.500 0.500
Mg1 0.250 0.250 0.250
Sm1 0.000 0.000 0.000


Number 1: formation energy from the elements 0.014 eV/atom, N(E_F) 14.459 states/eV/cell. Number 2: formation energy from the elements 0.007 eV/atom, N(E_F) 11.117 states/eV/cell. Number 3: formation energy from the elements 0.024 eV/atom, N(E_F) 18.574 states/eV/cell. Number 4: formation energy from the elements 0.109 eV/atom, N(E_F) 24.491 states/eV/cell. Number 5: formation energy from the elements 0.023 eV/atom, N(E_F) 12.477 states/eV/cell. Number 6: formation energy from the elements 0.095 eV/atom, N(E_F) 30.955 states/eV/cell. Number 7: formation energy from the elements 0.084 eV/atom, N(E_F) 10.702 states/eV/cell. Number 8: formation energy from the elements 0.157 eV/atom, N(E_F) 16.223 states/eV/cell. Number 9: formation energy from the elements 0.016 eV/atom, N(E_F) 12.135 states/eV/cell. Number 10: formation energy from the elements 0.013 eV/atom, N(E_F) 12.848 states/eV/cell. Number 11: formation energy from the elements 0.027 eV/atom, N(E_F) 16.238 states/eV/cell. Number 12: formation energy from the elements -0.181 eV/atom, N(E_F) 3.710 states/eV/cell.